Entry from Alexandria via LeMat-Bulk: crystalline CsSiO at its relaxed geometry (PBE).

Output
The crystal system is orthorhombic. For the total magnetization, the calculation gives 0.000 Bohr magnetons per cell. The uncorrected formation energy is -3.62 eV per formula unit.

a = 5.4675 Å, b = 14.9950 Å, c = 7.6925 Å
α = 90.00°, β = 90.00°, γ = 90.00°
Closest atoms and distances in Å follow each position.
Space group Cmce (No. 64)
Symmetry-distinct sites (fractional):
Cs 0.0000 0.1501 0.0603  2 O 3.08
Si 0.0000 0.0509 0.6351  2 O 1.76
O 0.2500 0.0064 0.7500  2 Si 1.76



Entry from Alexandria via LeMat-Bulk: crystalline Cs5SiO4 at its relaxed geometry (PBE).

Output
The crystal system is orthorhombic. For the total magnetization, the calculation gives 1.248 Bohr magnetons per cell. The uncorrected formation energy is -15.84 eV per formula unit.

a = 8.0579 Å, b = 10.3498 Å, c = 6.7644 Å
α = 90.00°, β = 90.00°, γ = 90.00°
Closest atoms and distances in Å follow each position.
Space group Pmmn (No. 59, origin choice 2)
Symmetry-distinct sites (fractional):
Cs 0.0094 0.0710 0.2498  3 O 3.04-3.14
Cs 0.2500 0.7500 0.2381  2 O 2.83
Si 0.2500 0.2500 0.7596  4 O 1.68-1.69
O 0.0791 0.2500 0.6161  1 Si 1.68
O 0.2500 0.1167 0.9039  1 Si 1.69



Entry from Alexandria via LeMat-Bulk: crystalline Cs2SiO at its relaxed geometry (PBE).

Output
The crystal system is tetragonal. For the total magnetization, the calculation gives 1.927 Bohr magnetons per cell. The uncorrected formation energy is -1.87 eV per formula unit.

a = 12.9501 Å, b = 12.9501 Å, c = 3.7556 Å
α = 90.00°, β = 90.00°, γ = 90.00°
Closest atoms and distances in Å follow each position.
Space group I-42d (No. 122)
Symmetry-distinct sites (fractional):
Cs 0.0307 0.2500 0.1250  2 O 3.30, 2 Si 3.55
Si 0.0000 0.0000 0.5000  2 O 1.88
O 0.0000 0.0000 0.0000  2 Si 1.88



Entry from Alexandria via LeMat-Bulk: crystalline Cs6Si2O7 at its relaxed geometry (PBE).

Output
The crystal system is monoclinic. For the total magnetization, the calculation gives 0.001 Bohr magnetons per cell. The uncorrected formation energy is -31.18 eV per formula unit.

a = 7.2841 Å, b = 9.6396 Å, c = 12.2178 Å
α = 90.00°, β = 126.57°, γ = 90.00°
Closest atoms and distances in Å follow each position.
Space group P2_1/c (No. 14)
Symmetry-distinct sites (fractional):
Cs 0.0211 0.1442 0.4035  5 O 3.01-3.37
Cs 0.2054 0.5272 0.4547  5 O 3.01-3.18
Cs 0.3884 0.2238 0.2728  6 O 2.96-3.21
Si 0.3411 0.6284 0.8820  4 O 1.65-1.72
O 0.1091 0.6537 0.8744  1 Si 1.65
O 0.2781 0.5761 0.7345  1 Si 1.65
O 0.4960 0.2311 0.0623  1 Si 1.66
O 0.5000 0.0000 0.5000  2 Si 1.72



Entry from Alexandria via LeMat-Bulk: crystalline Cs2SiO3 at its relaxed geometry (PBE).

Output
The crystal system is monoclinic. For the total magnetization, the calculation gives 0.001 Bohr magnetons per cell. The uncorrected formation energy is -13.65 eV per formula unit.

a = 6.9382 Å, b = 14.2244 Å, c = 17.3733 Å
α = 90.00°, β = 108.60°, γ = 90.00°
Closest atoms and distances in Å follow each position.
Space group P2_1/c (No. 14)
Symmetry-distinct sites (fractional):
Cs 0.0250 0.1008 0.0853  3 O 2.90-3.18
Cs 0.1132 0.6292 0.8635  5 O 2.98-3.31
Cs 0.1353 0.1851 0.3067  6 O 3.00-3.34
Cs 0.2825 0.0838 0.5319  5 O 2.96-3.21
Cs 0.3508 0.0149 0.7836  6 O 2.97-3.18
Cs 0.4629 0.1645 0.9886  4 O 2.98-3.11
Si 0.1631 0.6411 0.6355  4 O 1.62-1.70
Si 0.2733 0.6508 0.1079  4 O 1.62-1.70
Si 0.4505 0.7423 0.2794  4 O 1.62-1.70
O 0.0567 0.1100 0.8585  1 Si 1.62
O 0.1168 0.5667 0.1106  1 Si 1.63
O 0.1400 0.7469 0.5879  2 Si 1.70
O 0.2651 0.5672 0.5885  1 Si 1.63
O 0.3137 0.2308 0.6732  1 Si 1.62
O 0.3225 0.6981 0.3348  1 Si 1.63
O 0.3249 0.6610 0.7306  2 Si 1.70
O 0.4007 0.6354 0.0449  1 Si 1.62
O 0.4420 0.6679 0.2022  2 Si 1.70



Entry from Alexandria via LeMat-Bulk: crystalline CsSi3O at its relaxed geometry (PBE).

Output
The crystal system is cubic. For the total magnetization, the calculation gives 1.940 Bohr magnetons per cell. The uncorrected formation energy is 13.33 eV per formula unit.

a = 5.7199 Å, b = 5.7199 Å, c = 5.7199 Å
α = 90.00°, β = 90.00°, γ = 90.00°
Closest atoms and distances in Å follow each position.
Space group Pm-3m (No. 221)
Symmetry-distinct sites (fractional):
Cs 0.0000 0.0000 0.0000  6 Si 2.86
Si 0.0000 0.0000 0.5000  2 Cs 2.86
O 0.5000 0.5000 0.5000  12 Si 4.04



Entry from Alexandria via LeMat-Bulk: crystalline CsSiO2 at its relaxed geometry (PBE).

Output
The crystal system is cubic. For the total magnetization, the calculation gives 0.000 Bohr magnetons per cell. The uncorrected formation energy is -6.71 eV per formula unit.

a = 8.4126 Å, b = 8.4126 Å, c = 8.4126 Å
α = 90.00°, β = 90.00°, γ = 90.00°
Closest atoms and distances in Å follow each position.
Space group Fd-3m (No. 227, origin choice 2)
Symmetry-distinct sites (fractional):
Cs 0.1250 0.1250 0.1250  12 O 3.49, 4 Si 3.64, 4 Cs 3.64
Si 0.1250 0.1250 0.6250  4 O 1.82
O 0.0000 0.0000 0.5000  2 Si 1.82



Entry from Alexandria via LeMat-Bulk: crystalline CsSi4O8 at its relaxed geometry (PBE).

Output
The crystal system is hexagonal. For the total magnetization, the calculation gives 0.000 Bohr magnetons per cell. The uncorrected formation energy is -31.11 eV per formula unit.

a = 5.5510 Å, b = 5.5510 Å, c = 8.0167 Å
α = 90.00°, β = 90.00°, γ = 120.00°
Closest atoms and distances in Å follow each position.
Space group P6/mmm (No. 191)
Symmetry-distinct sites (fractional):
Cs 0.0000 0.0000 0.0000  18 O 3.20-3.50
Si 0.3333 0.6667 0.2088  4 O 1.66-1.67
O 0.0000 0.5000 0.2651  2 Si 1.66
O 0.3333 0.6667 0.0000  2 Si 1.67



Entry from Alexandria via LeMat-Bulk: crystalline CsSi3O at its relaxed geometry (PBE).

Output
The crystal system is cubic. For the total magnetization, the calculation gives 0.000 Bohr magnetons per cell. The uncorrected formation energy is 3.58 eV per formula unit.

a = 4.7126 Å, b = 4.7126 Å, c = 4.7126 Å
α = 90.00°, β = 90.00°, γ = 90.00°
Closest atoms and distances in Å follow each position.
Space group Pm-3m (No. 221)
Symmetry-distinct sites (fractional):
Cs 0.0000 0.0000 0.0000  12 Si 3.33
Si 0.0000 0.5000 0.5000  2 O 2.36
O 0.5000 0.5000 0.5000  6 Si 2.36



Entry from Alexandria via LeMat-Bulk: crystalline Cs4SiO4 at its relaxed geometry (PBE).

Output
The crystal system is tetragonal. For the total magnetization, the calculation gives 0.000 Bohr magnetons per cell. The uncorrected formation energy is -13.79 eV per formula unit.

a = 8.7736 Å, b = 8.7736 Å, c = 5.9089 Å
α = 90.00°, β = 90.00°, γ = 90.00°
Closest atoms and distances in Å follow each position.
Space group I4/m (No. 87)
Symmetry-distinct sites (fractional):
Cs 0.1199 0.2983 0.0000  4 O 2.82-3.15
Si 0.0000 0.0000 0.5000  4 O 1.74
O 0.0571 0.1903 0.5000  1 Si 1.74



Entry from Alexandria via LeMat-Bulk: crystalline Cs2SmSi2O6 at its relaxed geometry (PBE).

Output
The crystal system is trigonal. For the total magnetization, the calculation gives 3.001 Bohr magnetons per cell. The uncorrected formation energy is -27.47 eV per formula unit.

a = 6.1188 Å, b = 6.1188 Å, c = 18.2424 Å
α = 90.00°, β = 90.00°, γ = 120.00°
Closest atoms and distances in Å follow each position.
Space group R-3m (No. 166, hexagonal axes)
Symmetry-distinct sites (fractional):
Cs 0.0000 0.0000 0.2201  9 O 3.15-3.31
Sm 0.0000 0.0000 0.0000  6 O 2.36
Si 0.0000 0.0000 0.4251  3 O 1.62
O 0.0336 0.5168 0.2601  1 Si 1.62



Entry from Alexandria via LeMat-Bulk: crystalline Cs2Si3SnO9 at its relaxed geometry (PBE).

Output
The crystal system is orthorhombic. For the total magnetization, the calculation gives 0.000 Bohr magnetons per cell. The uncorrected formation energy is -36.87 eV per formula unit.

a = 8.0881 Å, b = 10.5189 Å, c = 11.9548 Å
α = 90.00°, β = 90.00°, γ = 90.00°
Closest atoms and distances in Å follow each position.
Space group P2_12_12_1 (No. 19)
Symmetry-distinct sites (fractional):
Cs 0.0714 0.1093 0.0204  7 O 3.10-3.41
Cs 0.2314 0.2134 0.3949  6 O 3.00-3.28
Si 0.0615 0.8748 0.2868  4 O 1.62-1.66
Si 0.0778 0.1108 0.7091  4 O 1.62-1.66
Si 0.0835 0.4773 0.9930  4 O 1.62-1.67
Sn 0.2456 0.4096 0.7371  6 O 2.08-2.10
O 0.0315 0.8865 0.4240  2 Si 1.66
O 0.0596 0.0574 0.5788  2 Si 1.66-1.67
O 0.0654 0.7248 0.2551  1 Si 1.62
O 0.0698 0.5516 0.7151  1 Si 1.62
O 0.0778 0.2653 0.7025  1 Si 1.63
O 0.0813 0.4506 0.2811  1 Si 1.62
O 0.1920 0.3902 0.9085  1 Si 1.62
O 0.1929 0.5753 0.0679  1 Si 1.63
O 0.2434 0.9420 0.2596  2 Si 1.66